Material: TbTiAs2
Method: DFT, PBE
State: relaxed

Geometry as POSCAR:
```
TbTiAs2
1.0
-2.1136 1.1676 -2.9713
-3.3632 -1.6765 -0.7332
-4.8851 4.2557 2.6805
Tb Ti As
1 1 2
Cartesian
-5.2119 1.9181 -0.4725
-8.4982 3.8612 0.1619
-4.2292 3.3070 1.8411
-2.4888 0.7896 -0.3862
```

Properties
As for the calculated formation energy: -1.068 eV/atom. As for the density of states at the Fermi level: 0.703 states/eV/atom. For the energy above the lowest structure with this stoichiometry, the calculation gives 0.0811 eV per atom.

Material: Th3Sb4Au3
Method: DFT, PBE
State: relaxed

Geometry as POSCAR:
```
Th3Sb4Au3
1.0
-3.2307 0.5204 -8.1539
8.6862 1.3054 -0.2026
-1.6890 -7.9586 3.3170
Th Sb Au
6 8 6
Cartesian
3.0176 -5.6595 -2.3458
-1.7109 -4.1924 -5.1122
2.4312 -1.4351 -0.2660
-1.3925 -5.6106 -0.5953
6.5816 0.2775 -1.8011
2.3725 -1.7783 -4.9982
-0.5311 -2.5024 1.0429
0.2713 -3.3087 -2.4822
-0.9164 -0.8779 -5.0122
-1.3755 -6.4817 2.7014
1.7119 1.0765 -6.7420
4.6144 -2.6560 -2.5834
3.3273 0.8163 -2.6651
4.1976 -4.4647 0.6220
5.4774 -1.9404 0.0727
0.7489 -0.4733 -2.6937
5.1590 -0.5222 -4.4442
1.3353 -4.6978 -4.7736
1.3940 -4.3545 -0.0413
-2.8151 -6.4103 -3.2384
```

Properties
Its formation energy without anion corrections is -0.6684 eV per atom. As for the density of states at the Fermi level: 0.796 states/eV/atom.

Material: K2Ti2Rh
Method: DFT, PBE
State: relaxed

Geometry as POSCAR:
```
K2Ti2Rh
1.0
3.4900 0.0000 0.0000
0.0000 3.4900 0.0000
1.7450 1.7450 11.6532
K Rh Ti
2 1 2
Cartesian
1.7450 1.7450 2.2684
3.4900 3.4900 9.3848
0.0000 0.0000 0.0000
3.4900 1.7450 5.8266
1.7450 3.4900 5.8266
```

Properties
As for the calculated formation energy: 0.990 eV/atom. As for the density of states at the Fermi level: 1.644 states/eV/atom. For the energy above the lowest structure with this stoichiometry, the calculation gives 0.0000 eV per atom.

Material: NdDy9Ho2
Method: DFT, PBE
State: relaxed

Geometry as POSCAR:
```
NdDy9Ho2
1.0
-0.4887 -3.1226 -1.5197
9.8105 -3.5484 4.1364
-9.4265 -1.4083 5.9249
Nd Dy Ho
1 9 2
Cartesian
0.0000 0.0000 0.0000
-4.7133 -0.7041 2.9624
0.1920 -2.4784 5.0307
4.9052 -1.7742 2.0682
1.5702 -3.0751 1.7672
-6.2468 -3.3505 4.8467
-1.8538 -2.6942 2.0856
1.7491 -5.3851 6.4561
6.1421 -4.7288 3.6949
-1.6749 -5.0042 6.7744
-3.0142 -2.1217 5.3287
3.3982 -2.8350 4.7326
```

Properties
As for the calculated formation energy: 0.039 eV/atom. As for the density of states at the Fermi level: 1.331 states/eV/atom. For the energy above the lowest structure with this stoichiometry, the calculation gives 0.0176 eV per atom.

Material: Li3Mg8Ga
Method: DFT, PBE
State: relaxed

Geometry as POSCAR:
```
Li3Mg8Ga
1.0
-5.7814 0.6838 0.8779
7.2385 -9.0003 2.0471
-2.7332 6.1823 3.3855
Li Mg Ga
3 8 1
Cartesian
-1.7056 2.5814 3.2641
-3.2263 -0.1705 2.0086
0.3923 -4.6671 3.0359
-1.3332 -0.1549 4.2465
-4.9245 4.3618 3.2089
-4.2580 1.4711 4.1982
-0.6594 0.9226 1.0649
-0.6150 -3.0032 5.2053
2.9648 -3.5689 2.1173
-0.0144 -1.9422 2.0805
3.6036 -6.4585 3.0691
1.9187 -1.9261 4.2883
```

Properties
As for the calculated formation energy: -0.075 eV/atom. As for the density of states at the Fermi level: 0.333 states/eV/atom.

Material: Ga3NiBi
Method: DFT, PBE
State: relaxed

Geometry as POSCAR:
```
Ga3NiBi
1.0
-2.3158 -2.3691 3.3425
-0.7098 -3.5494 -3.0076
4.0350 -1.9842 1.3893
Ni Bi Ga
1 1 3
Cartesian
0.0000 0.0000 0.0000
0.5047 -3.9514 0.8621
-0.3549 -1.7747 -1.5038
2.0175 -0.9921 0.6946
-1.1579 -1.1846 1.6712
```

Properties
As for the calculated formation energy: 0.006 eV/atom. As for the density of states at the Fermi level: 1.080 states/eV/atom. For the energy above the lowest structure with this stoichiometry, the calculation gives 0.0000 eV per atom.

Material: PrSeO6
Method: DFT, PBE
State: relaxed

Geometry as POSCAR:
```
PrSeO6
1.0
-2.7112 2.6557 2.2245
0.8396 -2.5926 3.4533
3.4439 2.8264 2.1204
Pr Se O
1 1 6
Cartesian
0.7861 1.4447 3.8991
0.0000 0.0000 0.0000
1.3019 -0.9064 3.0198
-0.9295 2.3917 2.2476
2.5017 0.4978 5.5505
0.2703 3.7959 4.7783
-0.0588 0.3850 1.8144
1.6310 2.5045 5.9837
```

Properties
Its formation energy without anion corrections is -0.9958 eV per atom. As for the density of states at the Fermi level: 0.398 states/eV/atom.

Material: TlInHPb2
Method: DFT, PBE
State: relaxed

Geometry as POSCAR:
```
TlInHPb2
1.0
-4.6349 -1.6139 -0.8205
1.3670 -1.6409 -4.4943
1.2103 -4.4978 2.0103
Pb H Tl In
2 1 1 1
Cartesian
0.6835 -0.8204 -2.2472
-2.3174 -0.8070 -0.4103
0.0000 0.0000 0.0000
-1.0288 -3.8763 -1.6523
0.6052 -2.2489 1.0051
```

Properties
For the final energy, the calculation gives -2.979 eV/atom. As for the density of states at the Fermi level: 0.350 states/eV/atom.

Material: Pr2SmGe
Method: DFT, PBE
State: relaxed

Geometry as POSCAR:
```
Pr2SmGe
1.0
-3.4017 0.8604 -1.3518
-0.8292 -0.7140 -3.5975
-5.1038 -10.0627 1.2083
Pr Ge Sm
2 1 1
Cartesian
-3.9308 -6.8516 0.3006
-5.4039 -3.0646 -4.0417
-4.6674 -4.9581 -1.8705
0.0000 0.0000 0.0000
```

Properties
As for the calculated formation energy: -0.018 eV/atom. As for the density of states at the Fermi level: 1.586 states/eV/atom. For the energy above the lowest structure with this stoichiometry, the calculation gives 0.3185 eV per atom.

Material: CeSi2Sb2Pt7
Method: DFT, PBE
State: relaxed

Geometry as POSCAR:
```
CeSi2Sb2Pt7
1.0
3.9681 -0.0020 -0.0001
0.0028 3.9681 -0.0001
1.9814 1.9790 15.1903
Ce Si Sb Pt
1 2 2 7
Cartesian
0.0000 0.0000 0.0000
3.9651 3.9602 11.5212
1.9873 1.9848 3.6690
3.9701 3.9653 6.4293
1.9822 1.9798 8.7609
1.9854 1.9830 -0.0001
1.9863 1.9838 6.0131
3.9661 3.9612 9.1771
3.9709 1.9829 2.2698
1.9877 3.9684 2.2698
3.9646 1.9766 12.9204
1.9815 3.9622 12.9204
```

Properties
Its formation energy without anion corrections is -0.6615 eV per atom. As for the density of states at the Fermi level: 0.441 states/eV/atom.

Material: AlIn2CBr
Method: DFT, PBE
State: relaxed

Geometry as POSCAR:
```
AlIn2CBr
1.0
5.7634 0.0000 0.0000
0.0000 3.7294 0.0000
0.0000 0.0000 5.7634
C Al Br In
1 1 1 2
Cartesian
0.0000 1.8647 0.0000
0.0000 0.0000 0.0000
2.8817 1.8647 2.8817
0.0000 0.0000 2.8817
2.8817 0.0000 0.0000
```

Properties
Its formation energy without anion corrections is 0.4618 eV per atom. As for the density of states at the Fermi level: 0.208 states/eV/atom.

Material: Y12Ho3Tm
Method: DFT, PBE
State: relaxed

Geometry as POSCAR:
```
Y12Ho3Tm
1.0
5.0312 0.0000 0.0000
0.0000 5.0312 0.0000
0.0000 0.0000 20.1256
Y Ho Tm
12 3 1
Cartesian
2.5156 2.5156 0.0000
2.5156 2.5156 5.0221
2.5156 2.5156 10.0628
2.5156 2.5156 15.1035
2.5156 0.0000 2.5074
2.5156 0.0000 7.5430
2.5156 0.0000 12.5826
2.5156 0.0000 17.6182
0.0000 2.5156 2.5074
0.0000 2.5156 7.5430
0.0000 2.5156 12.5826
0.0000 2.5156 17.6182
0.0000 0.0000 5.0250
0.0000 0.0000 10.0628
0.0000 0.0000 15.1006
0.0000 0.0000 0.0000
```

Properties
As for the calculated formation energy: 0.025 eV/atom. As for the density of states at the Fermi level: 1.396 states/eV/atom.